Compound: PuSbPd6
Source: the Alexandria database
Functional: PBE
Structure: optimized geometry

Uncorrected formation energy (kJ/mol of formula units): -351
Magnetic moment (μB per formula unit): 4.73

a b c (Å): 4.1141 4.1141 8.1677
angles (deg): 90.00 90.00 90.00
Closest atoms and distances in Å follow each position.
Space group P4/mmm (No. 123)
One atom of each set of equivalent atoms:
Pu1 0.0000 0.0000 0.0000  12 Pd 2.91-2.93
Sb1 0.0000 0.0000 0.5000  12 Pd 2.86-2.91
Pd1 0.0000 0.5000 0.2563  2 Sb 2.86, 8 Pd 2.86-2.93, 2 Pu 2.93
Pd2 0.5000 0.5000 0.0000  4 Pu 2.91, 8 Pd 2.93
Pd3 0.5000 0.5000 0.5000  8 Pd 2.86, 4 Sb 2.91